DFT (PBE) results for a geometry-optimized Rb2SrGeO4 structure.

Results
- mass density (g/cm3) = 2.8
- magnetization (μB/atom) = 0.00
- symmetry = Fddd (70)
- DOS(E_F) (states/eV/cell) = 0.00
- formation energy from raw total energies (eV/atom) = -1.693

Cell: 13.950 12.845 6.877 Å, 84.26 66.37 29.37°
Fractional positions:
Rb 0.071 0.071 0.679
Rb 0.321 0.321 0.929
Rb 0.679 0.679 0.071
Rb 0.929 0.929 0.321
Sr 0.125 0.125 0.125
Sr 0.875 0.875 0.875
Ge 0.375 0.375 0.375
Ge 0.625 0.625 0.625
O 0.065 0.612 0.504
O 0.318 0.504 0.612
O 0.388 0.935 0.682
O 0.496 0.682 0.935
O 0.504 0.318 0.065
O 0.612 0.065 0.318
O 0.682 0.496 0.388
O 0.935 0.388 0.496